The following is a PBE calculation of a relaxed structure of K2BF5, from Alexandria.

Summary:
Calculated total energy in eV/cell: -166.57
E_form (uncorrected) in eV per atom: -2.93
E above lowest polymorph in meV per atom: 0
Volume in Å³/atom: 16.09

Structure (CIF):
```
data_K2BF5
_chemical_formula_sum 'K8 B4 F20'
_symmetry_space_group_name_H-M 'P 1 21/c 1'
_symmetry_Int_Tables_number 14
_symmetry_space_group_name_Hall '-P 2ybc'
_cell_length_a 4.977
_cell_length_b 12.329
_cell_length_c 8.388
_cell_angle_alpha 90.00
_cell_angle_beta 90.52
_cell_angle_gamma 90.00
loop_
_atom_site_label
_atom_site_fract_x
_atom_site_fract_y
_atom_site_fract_z
K1 0.240 0.219 0.151
K2 0.246 0.553 0.135
B1 0.315 0.618 0.618
F1 0.194 0.523 0.673
F2 0.216 0.710 0.703
F3 0.258 0.120 0.451
F4 0.261 0.634 0.452
F5 0.402 0.113 0.858
```